#1
PBEsol Li4CuSi2O7, relaxed; symmetry = No. 5
1.0
-2.7152 3.1320 1.6272
-0.0846 -4.5650 2.5522
5.1913 2.8784 3.1222
Li Cu Si O
4 1 2 7
Cartesian
4.4002 1.8539 3.9253
1.3525 2.1833 4.2589
0.9894 -0.6807 3.0724
-2.0762 -0.3307 3.4167
2.5901 1.4456 1.5644
-0.4559 1.6861 1.9682
2.9003 -0.3018 5.3016
2.8552 2.6585 3.0597
-0.3534 2.6413 3.2899
-0.5841 0.1250 2.3508
4.1017 0.0214 4.2759
1.4658 0.2795 4.7782
0.7309 -2.5911 3.5259
-1.8599 2.1454 1.1146

#2
PBEsol Li4CuSi2O7, relaxed; symmetry = No. 9
1.0
-2.0236 -4.9743 -0.4454
5.0326 1.2977 -4.7614
5.1293 -2.5829 5.5432
Li Cu Si O
8 2 4 14
Cartesian
3.7200 -2.1269 -3.6354
6.9357 -1.8179 -0.7204
4.0856 -2.5852 -0.7311
7.3357 -2.1918 2.1913
1.3396 -2.4220 -2.0676
3.3104 -5.1732 0.5733
9.6667 -2.1223 0.5801
5.8110 -4.0045 -2.4757
0.5439 -5.0549 -0.6969
4.4794 -2.9764 2.3765
4.9102 0.1107 -2.0201
6.1386 -4.4656 0.4574
1.6481 -2.6580 0.9309
3.5094 -5.6784 3.5477
6.4545 -0.5839 -2.3458
7.7491 -4.9973 0.1463
3.9944 -0.2712 -3.2972
5.8251 -3.3668 -0.6871
3.0956 -3.2768 -2.2562
5.1755 -5.7599 0.4087
4.4087 -0.6434 -0.6385
6.2156 -3.7976 1.9664
3.1899 -3.1688 0.9000
4.9723 -6.3830 3.4995
1.3531 -1.5998 -0.2913
2.6398 -6.0327 2.1990
0.6301 -3.9407 0.8685
3.6717 -4.0597 3.7451

Most stable to least stable, the ends of the list are #1 and #2.

#1
PBEsol LiVCuO4, relaxed; symmetry = No. 74
1.0
5.6371 0.0000 0.0000
-2.8186 5.2007 -0.0539
0.0000 -3.1075 4.8150
Li V Cu O
2 2 2 8
Cartesian
-1.4093 1.0466 2.3806
1.4093 1.0466 2.3806
0.0000 3.5830 0.6073
2.8186 -1.4899 4.1539
0.0000 0.0000 0.0000
0.0000 -1.5538 2.4075
1.3275 -0.7711 1.2075
-1.4911 2.8642 3.5537
1.4911 2.8642 3.5537
4.3096 -0.7711 1.2075
0.0000 2.0267 1.2209
2.8186 0.0664 3.5402
2.8186 1.6996 1.0098
0.0000 0.3936 3.7514

#2
PBEsol LiVCuO4, relaxed; symmetry = No. 63
1.0
5.0083 -0.0458 0.0000
-1.7900 4.6778 0.0000
0.0000 0.0000 6.2630
Li V Cu O
2 2 2 8
Cartesian
2.7565 1.5188 4.6973
0.4619 3.1132 1.5658
2.6292 1.6073 1.5658
0.5892 3.0247 4.6973
0.0000 0.0000 0.0000
0.0000 0.0000 3.1315
3.4276 1.0525 0.1704
3.4276 1.0525 2.9611
0.9599 1.0942 1.5658
0.6906 1.2813 4.6973
2.5277 3.3507 1.5658
2.2584 3.5378 4.6973
-0.2093 3.5795 6.0926
-0.2093 3.5795 3.3019

#3
PBEsol LiVCuO4, relaxed; symmetry = No. 95
1.0
5.9869 0.0000 0.0000
0.0000 5.9869 0.0000
0.0000 0.0000 7.5878
Li V Cu O
4 4 4 16
Cartesian
2.9934 4.4110 0.0000
2.9934 1.5758 3.7939
4.4110 2.9934 1.8969
1.5758 2.9934 5.6908
4.2750 0.0000 1.8969
0.0000 4.2750 0.0000
0.0000 1.7119 3.7939
1.7119 0.0000 5.6908
4.5538 4.5538 4.7424
4.5538 1.4331 6.6393
1.4331 4.5538 2.8454
1.4331 1.4331 0.9485
3.1846 4.6334 2.0411
3.1846 1.3534 1.7528
4.6334 3.1846 7.4436
4.6334 2.8023 3.9380
4.6035 5.8135 0.0730
4.6035 0.1734 3.7209
5.8135 4.6035 1.8240
5.8135 1.3834 1.9699
0.1734 4.6035 5.7638
0.1734 1.3834 5.6178
1.3834 0.1734 3.8669
1.3834 5.8135 7.5148
1.3534 3.1846 0.1441
1.3534 2.8023 3.6498
2.8023 4.6334 5.5467
2.8023 1.3534 5.8350

Most stable to least stable, the ends of the list are #1 and #3.

#1
PBEsol Li2V3CuO8, relaxed; symmetry = No. 166
1.0
5.6693 0.0000 0.0000
2.8346 4.9097 0.0000
2.8346 1.6366 4.9618
Li V Cu O
2 3 1 8
Cartesian
8.5039 4.9097 1.8609
2.8346 1.6366 3.1009
2.8346 0.0000 0.0000
1.4173 2.4549 0.0000
4.2520 2.4549 0.0000
5.6693 3.2732 2.4809
8.5039 4.9097 3.8718
6.9811 4.0305 1.0628
4.3575 4.0305 1.0628
5.6693 1.7584 1.0628
5.6693 4.7879 3.8990
6.9811 2.5158 3.8990
4.3575 2.5158 3.8990
2.8346 1.6366 1.0900

#2
PBEsol Li2V3CuO8, relaxed; symmetry = No. 19
1.0
-1.1605 0.5666 -8.0781
-8.1614 -0.2703 1.1536
-0.1856 8.1594 0.5990
Li V Cu O
8 12 4 32
Cartesian
-7.5426 0.9991 -2.0192
-2.3163 2.0929 -1.6462
-6.9633 2.2876 -4.9979
-3.7800 3.3138 -4.3362
-1.3381 5.1264 -0.4176
-6.6097 6.0255 -0.6442
-3.1258 6.5055 -5.3627
-6.3543 7.4723 -5.8781
-5.2124 1.0374 -0.3693
-4.2124 1.3718 -6.4443
-1.5872 1.2599 -4.9525
-5.4029 3.1964 -2.0152
-7.4995 2.9282 0.1440
-2.0003 3.4115 -6.5669
-3.6731 5.2998 -2.0519
-5.8276 5.2649 -4.0746
-8.4500 5.2534 -5.5754
-3.5750 7.2018 -0.1078
-1.4756 7.3467 -2.2761
-8.1293 7.1628 -3.6629
-8.2851 7.8973 1.6114
-5.2350 4.5084 -7.0834
-0.7349 4.3477 -3.5989
-4.7602 0.1582 -3.5801
-7.9609 0.9417 -4.0164
-1.5198 1.0139 -3.0625
-3.3026 0.9578 -0.4291
-5.9535 1.4117 -6.4289
-3.7051 1.2460 -4.7691
-2.1091 1.4788 -6.7772
-7.0603 1.0755 0.0816
-5.5158 1.2598 -2.1649
-1.7796 3.1864 -4.7597
-3.8943 3.2495 -6.4890
-5.3838 2.9609 -0.1194
-7.4851 3.0713 -1.6050
-1.0089 3.0456 -0.5427
-8.3194 3.3452 -5.8839
-5.8775 3.4289 -3.8477
-3.6318 3.3622 -2.3008
-2.0716 5.3637 -6.5268
-7.3520 4.7165 0.5967
-5.5772 5.1260 -2.0107
-4.0901 5.3853 -4.0782
-6.3343 5.3621 -5.7519
-7.9325 5.2269 -3.7366
-1.8304 5.4868 -2.4863
-3.3742 5.2711 -0.2421
-8.3456 7.1941 -5.4844
-6.2302 7.0997 -3.7574
-3.5897 7.2449 -2.0178
-1.4907 7.2321 -0.5250
-7.9625 7.0689 -1.6011
-1.8160 7.4826 -4.3273
-4.2659 7.7522 -6.3376
-5.3508 7.2439 0.1930

#3
PBEsol Li2V3CuO8, relaxed; symmetry = No. 96
1.0
7.9984 0.0000 0.0000
0.0000 8.4172 0.0000
0.0000 0.0000 8.4172
Li V Cu O
8 12 4 32
Cartesian
5.1630 2.0913 4.2044
6.8346 4.2128 6.3259
2.8354 4.2044 2.0913
1.1638 6.3259 4.2128
4.8350 6.2999 0.0042
3.1634 0.0042 6.2999
7.1626 8.4130 2.1173
0.8358 2.1173 8.4130
1.9996 2.9054 5.5118
4.0584 3.0363 7.3403
6.0580 3.1317 1.1723
2.0588 5.2855 7.2449
0.0592 5.3809 1.0769
5.9988 5.5118 2.9054
0.0000 7.1140 7.1140
5.9396 7.2449 5.2855
3.9400 7.3403 3.0363
7.9392 1.0769 5.3809
1.9404 1.1723 3.1317
3.9992 1.3032 1.3032
0.0000 3.5877 3.5877
3.9992 4.8294 4.8294
1.9996 7.7963 0.6208
5.9988 0.6208 7.7963
7.9813 2.8832 5.4070
1.9665 2.9750 3.4910
4.0395 3.1096 1.0609
4.0162 3.0102 5.5340
5.7910 3.2637 7.6632
2.0399 3.1476 7.3182
7.7906 3.4546 0.9449
6.0319 3.4910 2.9750
2.0327 4.9261 5.4422
3.7914 4.9626 7.4723
6.0391 5.2695 1.0990
1.7918 5.1535 0.7540
0.0170 5.4070 2.8832
0.0403 5.3076 7.3562
5.9656 5.4422 4.9261
3.9822 5.5340 3.0102
2.0166 7.0918 7.2188
0.0331 7.1836 0.7175
5.9585 7.3182 3.1476
5.9818 7.2188 7.0918
4.2070 7.4723 4.9626
7.9581 7.3562 5.3076
2.2074 7.6632 3.2637
3.9661 7.6996 1.2336
7.9652 0.7175 7.1836
6.2066 0.7540 5.1535
3.9589 1.0609 3.1096
0.2078 0.9449 3.4546
1.9826 1.1984 1.3254
1.9593 1.0990 5.2695
4.0323 1.2336 7.6996
6.0158 1.3254 1.1984

Most stable to least stable, the ends of the list are #2 and #1.

#1
PBEsol Li2V3CuO8, relaxed; symmetry = No. 160
1.0
-2.6038 4.1336 -2.8432
-3.4444 -1.2628 -4.3002
-5.7957 0.7086 0.7193
Li V Cu O
2 3 1 8
Cartesian
-7.4611 2.7779 -5.9845
-5.9061 1.7907 -3.2252
-4.3345 3.4998 -4.9859
-3.0340 1.4353 -3.5658
-4.7543 0.8046 -5.7136
-4.3756 0.8019 -0.4457
-8.9965 2.6770 -4.7250
-4.1717 2.8913 -3.2134
-5.7703 2.3052 -5.2091
-4.5619 0.3868 -3.8896
-7.2683 3.1852 -2.5435
-6.0665 1.2774 -1.2313
-7.6563 0.6945 -3.2159
-2.8814 0.9001 -1.6713

#2
PBEsol Li2V3CuO8, relaxed; symmetry = No. 9
1.0
-2.4826 1.7485 4.7373
-4.8553 -2.4442 1.6996
4.7483 -6.3665 5.9298
Li V Cu O
4 6 2 16
Cartesian
-2.0699 -0.8457 2.8293
-7.1138 -0.7153 6.3512
-0.0870 -1.6404 7.5790
-2.0767 -4.2012 7.9518
2.6203 -4.9348 5.8530
1.1700 -4.2159 8.1417
0.3188 -6.3077 6.4838
-2.3588 -1.3890 6.0612
-3.7275 -3.3863 4.7510
-4.7875 -2.3089 7.1120
-0.1204 -3.5088 4.9044
-0.0082 -6.7550 10.0490
0.6366 -2.7183 3.2028
1.9189 -3.4183 6.5412
1.9372 -5.8666 7.4527
-1.5298 -6.6650 5.8722
0.7146 -1.2549 1.1638
-0.6720 -1.8558 5.7355
0.7966 -5.2649 5.0315
-0.3191 -4.5283 7.3120
0.7553 -4.9028 9.8013
-1.9332 -4.0223 4.1797
-3.1236 -1.4873 4.3788
-4.2210 -0.7338 6.6627
-3.0870 -3.1026 6.5957
-0.4953 -7.1069 8.1171
-5.3009 -2.6704 5.2777
-1.7530 -6.1977 10.6592

Most stable to least stable, the ends of the list are #1 and #2.